(1)
VASP calculation (PBE) on Gd2YRu after structural relaxation.

Cell and atoms, written as POSCAR:
```
Gd2YRu
1.0
3.5335 0.0000 0.0000
-1.7668 3.0601 0.0000
0.0000 0.0000 31.8322
Gd Y Ru
6 3 3
direct
0.0000 0.0000 0.1066
0.0000 0.0000 0.8934
0.3333 0.6667 0.5601
0.3333 0.6667 0.7733
0.6667 0.3333 0.2267
0.6667 0.3333 0.4399
0.0000 0.0000 0.0000
0.3333 0.6667 0.6667
0.6667 0.3333 0.3333
0.0000 0.0000 0.5000
0.3333 0.6667 0.1667
0.6667 0.3333 0.8333
```

Results
As for the excess energy over the best structure of this formula in the dataset: 263 meV/atom. As for the total energy: -10.864 eV per atom. The calculation puts the magnetization at 45.89 μB per cell.

(2)
VASP calculation (PBE) on Gd2YRu after structural relaxation.

Cell and atoms, written as POSCAR:
```
Gd2YRu
1.0
3.4522 0.0000 0.0000
0.0000 3.4522 0.0000
0.0000 0.0000 9.0648
Gd Y Ru
2 1 1
direct
0.0000 0.0000 0.1843
0.0000 0.0000 0.8157
0.5000 0.5000 0.5000
0.5000 0.5000 0.0000
```

Results
As for the excess energy over the best structure of this formula in the dataset: 0 meV/atom. As for the total energy: -11.127 eV per atom. The calculation puts the magnetization at 14.21 μB per cell.

(3)
VASP calculation (PBE) on GdZnRu after structural relaxation.

Cell and atoms, written as POSCAR:
```
GdZnRu
1.0
4.3861 0.0000 0.0000
-2.1930 3.7984 0.0000
0.0000 0.0000 3.5708
Gd Zn Ru
1 1 1
direct
0.0000 0.0000 0.0000
0.6667 0.3333 0.5000
0.3333 0.6667 0.5000
```

Results
As for the total energy: -8.449 eV per atom. The calculation puts the magnetization at 7.09 μB per cell.